{"formula": "Ni2Mo", "functional": "SCAN", "state": "PBEsol geometry", "lattice": [[4.6911, -1.2963, 0.0000], [4.6911, 1.2963, 0.0000], [-1.6644, 0.0000, 5.8790]], "species": ["Ni", "Ni", "Ni", "Ni", "Mo", "Mo"], "fractional_positions": [[0.1466, 0.1466, 0.0356], [0.1969, 0.1969, 0.6339], [0.8031, 0.8031, 0.3661], [0.8534, 0.8534, 0.9644], [0.4772, 0.4772, 0.7057], [0.5228, 0.5228, 0.2943]], "de_polymorph_mev_per_atom": 100.4, "formation_enthalpy_0k_ev_per_atom": 0.061}